A plane-wave DFT calculation with GGA-PBE was carried out for crystalline Na2InBi2 at its relaxed geometry.

magnetic moment	0.0	μB per formula unit
final energy	-27.56	eV/cell
formation energy	-128.4	meV per atom
energy above the lowest structure with this stoichiometry	9.7	kJ per mole of atoms

abc: 9.191 9.191 3.601
angles: 90.00 90.00 90.00
Positions (direct):
1 Na 0.174 0.674 0.500
2 Na 0.674 0.826 0.500
3 Na 0.826 0.326 0.500
4 Na 0.326 0.174 0.500
5 Bi 0.378 0.878 0.000
6 Bi 0.878 0.622 0.000
7 Bi 0.622 0.122 0.000
8 Bi 0.122 0.378 0.000
9 In 0.000 0.000 0.000
10 In 0.500 0.500 0.000